Entry a
# VSiI2O

An optimized crystal structure of VSiI2O (GGA+U, Alexandria via LeMat-Bulk).

a b c (Å): 5.739 5.739 3.560
angles (deg): 90.00 90.00 90.00
Fractional coordinates of all 5 atoms:
V  0.000  0.000  0.000
Si  0.500  0.500  0.500
I  0.000  0.500  0.500
I  0.500  0.000  0.500
O  0.500  0.500  0.000

Summary:
- N(E_F): 0.30 states/eV/atom
- Symmetry: P4/mmm (123)

Entry b
# VSiI2O

An optimized crystal structure of VSiI2O (GGA+U, Alexandria via LeMat-Bulk).

a b c (Å): 5.693 5.693 3.715
angles (deg): 90.00 90.00 90.00
Fractional coordinates of all 5 atoms:
V  0.000  0.000  0.000
Si  0.500  0.500  0.500
I  0.000  0.500  0.000
I  0.500  0.000  0.000
O  0.000  0.000  0.500

Summary:
- N(E_F): 0.56 states/eV/atom
- Symmetry: P4/mmm (123)

It is entry b that is the most stable of them.